[1]
# PBE CeAlGe2Pd, relaxed
data_CeAlGe2Pd
_chemical_formula_sum 'Ce2 Al2 Ge4 Pd2'
_cell_length_a 4.065
_cell_length_b 4.065
_cell_length_c 11.542
_cell_angle_alpha 90.00
_cell_angle_beta 90.00
_cell_angle_gamma 90.00
_space_group_name_H-M_alt 'I -4 m 2'
_space_group_IT_number 119
_space_group_name_Hall 'I -4 -2'
loop_
_atom_site_label
_atom_site_fract_x
_atom_site_fract_y
_atom_site_fract_z
Ce1 0.000 0.000 0.000
Al1 0.000 0.500 0.250
Ge1 0.000 0.000 0.389
Pd1 0.000 0.500 0.750
# Energy relative to the elements ... -0.6535 eV/atom
# Total energy ... -5.47 eV per atom

[2]
# PBE Hg4PtF5, relaxed
data_Hg4PtF5
_chemical_formula_sum 'Hg8 Pt2 F10'
_cell_length_a 16.369
_cell_length_b 3.481
_cell_length_c 7.605
_cell_angle_alpha 90.00
_cell_angle_beta 109.43
_cell_angle_gamma 90.00
_space_group_name_H-M_alt 'C 1 2/m 1'
_space_group_IT_number 12
_space_group_name_Hall '-C 2y'
loop_
_atom_site_label
_atom_site_fract_x
_atom_site_fract_y
_atom_site_fract_z
Hg1 0.004 0.000 0.273
Hg2 0.183 0.500 0.125
Pt1 0.000 0.500 0.000
F1 0.000 0.500 0.500
F2 0.177 0.000 0.895
F3 0.183 0.000 0.319
# Total energy ... -2.64 eV per atom
# Formation energy without anion corrections ... -0.98 eV per atom

[3]
# PBE ZnB6N6, relaxed
data_ZnB6N6
_chemical_formula_sum 'Zn1 B6 N6'
_cell_length_a 4.567
_cell_length_b 4.567
_cell_length_c 4.567
_cell_angle_alpha 90.00
_cell_angle_beta 90.00
_cell_angle_gamma 90.00
_space_group_name_H-M_alt 'P m -3'
_space_group_IT_number 200
_space_group_name_Hall '-P 2 2 3'
loop_
_atom_site_label
_atom_site_fract_x
_atom_site_fract_y
_atom_site_fract_z
Zn1 0.000 0.000 0.000
B1 0.000 0.249 0.500
N1 0.000 0.500 0.254
# Total energy ... -7.43 eV per atom
# Formation energy without anion corrections ... -0.41 eV per atom

[4]
# PBE HfV2H4, relaxed
data_HfV2H4
_chemical_formula_sum 'Hf4 V8 H16'
_cell_length_a 7.769
_cell_length_b 7.794
_cell_length_c 5.495
_cell_angle_alpha 90.00
_cell_angle_beta 134.85
_cell_angle_gamma 90.00
_space_group_name_H-M_alt 'C 1 2/c 1'
_space_group_IT_number 15
_space_group_name_Hall '-C 2yc'
loop_
_atom_site_label
_atom_site_fract_x
_atom_site_fract_y
_atom_site_fract_z
Hf1 0.000 0.124 0.250
V1 0.000 0.500 0.000
V2 0.250 0.250 0.000
H1 0.001 0.270 0.541
H2 0.210 0.479 0.959
# Total energy ... -6.26 eV per atom
# E above lowest polymorph ... 15 meV/atom

[5]
# PBE Ca5Pt7, relaxed
data_Ca5Pt7
_chemical_formula_sum 'Ca5 Pt7'
_cell_length_a 7.471
_cell_length_b 4.363
_cell_length_c 8.130
_cell_angle_alpha 90.00
_cell_angle_beta 93.06
_cell_angle_gamma 90.00
_space_group_name_H-M_alt 'P 1 m 1'
_space_group_IT_number 6
_space_group_name_Hall 'P -2y'
loop_
_atom_site_label
_atom_site_fract_x
_atom_site_fract_y
_atom_site_fract_z
Ca1 0.000 0.000 0.000
Ca2 0.033 0.500 0.398
Ca3 0.303 0.000 0.667
Ca4 0.512 0.000 0.044
Ca5 0.551 0.500 0.416
Pt1 0.274 0.000 0.315
Pt2 0.278 0.500 0.901
Pt3 0.610 0.500 0.792
Pt4 0.751 0.000 0.644
Pt5 0.765 0.500 0.110
Pt6 0.790 0.000 0.317
Pt7 0.964 0.500 0.746
# Energy relative to the elements ... -0.7064 eV/atom
# Total energy ... -5.06 eV per atom
# E above lowest polymorph ... 0 meV/atom